Compound: LaSiO3
Source: Alexandria
Functional: PBE-GGA
Structure: relaxed

a b c (Å): 7.1888 7.1888 10.6362
angles (deg): 71.32 71.32 60.43
Site moments in Bohr magnetons follow the coordinates.
Fractional positions:
La: 0.5000 0.0000 0.5000  0.05
La: 0.0000 0.5000 0.0000  0.05
La: 0.7073 0.1383 0.9756  0.12
La: 0.8617 0.2927 0.5244  0.12
La: 0.2927 0.8617 0.0244  0.12
La: 0.1383 0.7073 0.4756  0.12
Si: 0.0932 0.9068 0.7500  0.04
Si: 0.9068 0.0932 0.2500  0.04
Si: 0.3762 0.3749 0.7441  0.00
Si: 0.6251 0.6238 0.7559  0.00
Si: 0.6238 0.6251 0.2559  0.00
Si: 0.3749 0.3762 0.2441  0.00
O: 0.5876 0.4124 0.7500  0.00
O: 0.4124 0.5876 0.2500  0.00
O: 0.0531 0.8255 0.9375  0.01
O: 0.1745 0.9469 0.5625  0.01
O: 0.9469 0.1745 0.0625  0.01
O: 0.8255 0.0531 0.4375  0.01
O: 0.1599 0.6161 0.7489  0.01
O: 0.3839 0.8401 0.7511  0.01
O: 0.8401 0.3839 0.2511  0.01
O: 0.6161 0.1599 0.2489  0.01
O: 0.3488 0.2080 0.8872  0.01
O: 0.7920 0.6512 0.6128  0.01
O: 0.3148 0.4319 0.0989  0.01
O: 0.5681 0.6852 0.4011  0.01
O: 0.6852 0.5681 0.9011  0.01
O: 0.4319 0.3148 0.5989  0.01
O: 0.2080 0.3488 0.3872  0.01
O: 0.6512 0.7920 0.1128  0.01

Values from the calculation:
density: 4.82 g/cm3
D(E_F): 0.0688 states/eV per atom
formation energy (no corrections): -279 kJ/mol of atoms